# 1
! LaBe2N | the Alexandria database | PBE | optimized geometry; values from VASP
&SYSTEM
  ibrav = 0, nat = 8, ntyp = 3
/
ATOMIC_SPECIES
La 138.91 La.upf
N 14.01 N.upf
Be 9.01 Be.upf
CELL_PARAMETERS angstrom
4.0629 0.0000 0.0000
0.0000 4.0629 0.0000
2.0314 2.0314 6.6959
ATOMIC_POSITIONS crystal
La 0.0000 0.0000 0.0000
La 0.7500 0.2500 0.5000
N 0.2500 0.7500 0.5000
N 0.5000 0.5000 0.0000
Be 0.8750 0.6250 0.7500
Be 0.3750 0.1250 0.2500
Be 0.3750 0.6250 0.7500
Be 0.3750 0.6250 0.2500
! * formation energy without anion corrections: 0.2 eV per formula unit
! * E_tot: -5.1347 eV/atom
! * symmetry: No. 141



# 2
! La3BeN | the Alexandria database | PBE | optimized geometry; values from VASP
&SYSTEM
  ibrav = 0, nat = 5, ntyp = 3
/
ATOMIC_SPECIES
Be 9.01 Be.upf
N 14.01 N.upf
La 138.91 La.upf
CELL_PARAMETERS angstrom
5.0443 0.0000 0.0000
0.0000 5.0443 0.0000
0.0000 0.0000 5.0443
ATOMIC_POSITIONS crystal
Be 0.5000 0.5000 0.5000
N 0.0000 0.0000 0.0000
La 0.0000 0.0000 0.5000
La 0.0000 0.5000 0.0000
La 0.5000 0.0000 0.0000
! * relative energy among the computed polymorphs: 0.00 eV per formula unit
! * formation energy without anion corrections: -1.9 eV per formula unit
! * E_tot: -5.7541 eV/atom
! * symmetry: No. 221



# 3
! La2BeN | the Alexandria database | PBE | optimized geometry; values from VASP
&SYSTEM
  ibrav = 0, nat = 4, ntyp = 3
/
ATOMIC_SPECIES
La 138.91 La.upf
N 14.01 N.upf
Be 9.01 Be.upf
CELL_PARAMETERS angstrom
3.5811 0.0000 0.0000
1.7905 3.1013 0.0000
1.7905 1.0338 9.1056
ATOMIC_POSITIONS crystal
La 0.8856 0.8856 0.3432
La 0.1144 0.1144 0.6568
N 0.5000 0.5000 0.5000
Be 0.0000 0.0000 0.0000
! * relative energy among the computed polymorphs: 1.18 eV per formula unit
! * formation energy without anion corrections: -0.1 eV per formula unit
! * E_tot: -5.4961 eV/atom
! * symmetry: No. 166



# 4
! NaLaBeN2 | the Alexandria database | PBE | optimized geometry; values from VASP
&SYSTEM
  ibrav = 0, nat = 10, ntyp = 4
/
ATOMIC_SPECIES
Na 22.99 Na.upf
Be 9.01 Be.upf
N 14.01 N.upf
La 138.91 La.upf
CELL_PARAMETERS angstrom
-0.2491 -1.4970 -3.8630
4.8066 -2.8669 0.8011
-4.5103 -4.5618 2.0586
ATOMIC_POSITIONS crystal
Na 0.5387 0.0000 0.7500
Na 0.4613 0.0000 0.2500
Be 0.0000 0.0000 0.5000
Be 0.0000 0.0000 0.0000
N 0.1749 0.7554 0.4726
N 0.8251 0.2446 0.5274
N 0.8251 0.7554 0.9726
N 0.1749 0.2446 0.0274
La 0.8136 0.5000 0.2500
La 0.1864 0.5000 0.7500
! * formation energy without anion corrections: -3.7 eV per formula unit
! * E_tot: -6.0644 eV/atom
! * symmetry: No. 13



# 5
! LaBeNbN3 | the Alexandria database | PBE | optimized geometry; values from VASP
&SYSTEM
  ibrav = 0, nat = 12, ntyp = 4
/
ATOMIC_SPECIES
Be 9.01 Be.upf
Nb 92.91 Nb.upf
La 138.91 La.upf
N 14.01 N.upf
CELL_PARAMETERS angstrom
-2.5575 -1.6554 1.0136
-0.8759 -2.5618 -6.3943
4.2129 -4.4554 3.3532
ATOMIC_POSITIONS crystal
Be 0.2500 0.0805 0.6030
Be 0.7500 0.9195 0.3970
Nb 0.2500 0.6630 0.1607
Nb 0.7500 0.3370 0.8393
La 0.7500 0.8041 0.7734
La 0.2500 0.1959 0.2266
N 0.2500 0.5504 0.8387
N 0.7500 0.8795 0.1421
N 0.7500 0.4496 0.1613
N 0.7500 0.1694 0.5326
N 0.2500 0.8306 0.4674
N 0.2500 0.1205 0.8579
! * formation energy without anion corrections: -6.8 eV per formula unit
! * E_tot: -8.4179 eV/atom
! * symmetry: No. 11



# 6
! La2BeNbN | the Alexandria database | PBE | optimized geometry; values from VASP
&SYSTEM
  ibrav = 0, nat = 5, ntyp = 4
/
ATOMIC_SPECIES
Be 9.01 Be.upf
Nb 92.91 Nb.upf
La 138.91 La.upf
N 14.01 N.upf
CELL_PARAMETERS angstrom
5.8644 0.0000 0.0000
0.0000 3.0132 0.0000
0.0000 0.0000 5.8644
ATOMIC_POSITIONS crystal
Be 0.0000 0.0000 0.0000
Nb 0.5000 0.5000 0.5000
La 0.0000 0.0000 0.5000
La 0.5000 0.0000 0.0000
N 0.0000 0.5000 0.0000
! * formation energy without anion corrections: 1.1 eV per formula unit
! * E_tot: -6.1737 eV/atom
! * symmetry: No. 123



# 7
! LaBeNiN | the Alexandria database | PBE | optimized geometry; values from VASP
&SYSTEM
  ibrav = 0, nat = 8, ntyp = 4
/
ATOMIC_SPECIES
N 14.01 N.upf
Be 9.01 Be.upf
Ni 58.69 Ni.upf
La 138.91 La.upf
CELL_PARAMETERS angstrom
3.7660 0.0000 0.0000
0.0000 3.7660 0.0000
0.0000 0.0000 7.9225
ATOMIC_POSITIONS crystal
N 0.0000 0.5000 0.1466
N 0.5000 0.0000 0.8534
Be 0.5000 0.0000 0.6494
Be 0.0000 0.5000 0.3506
Ni 0.0000 0.0000 0.5000
Ni 0.5000 0.5000 0.5000
La 0.0000 0.5000 0.8322
La 0.5000 0.0000 0.1678
! * formation energy without anion corrections: -3.4 eV per formula unit
! * E_tot: -6.5474 eV/atom
! * symmetry: No. 129



# 8
! LaBeNO2 | the Alexandria database | PBE | optimized geometry; values from VASP
&SYSTEM
  ibrav = 0, nat = 5, ntyp = 4
/
ATOMIC_SPECIES
O 16.00 O.upf
La 138.91 La.upf
Be 9.01 Be.upf
N 14.01 N.upf
CELL_PARAMETERS angstrom
3.8302 0.0000 0.0000
0.0000 3.8302 0.0000
0.0000 0.0000 3.5718
ATOMIC_POSITIONS crystal
O 0.0000 0.5000 0.0000
O 0.5000 0.0000 0.0000
La 0.5000 0.5000 0.5000
Be 0.0000 0.0000 0.0000
N 0.0000 0.0000 0.5000
! * formation energy without anion corrections: -8.1 eV per formula unit
! * E_tot: -6.9919 eV/atom
! * symmetry: No. 123